Density functional theory data (PBE) for a geometry-optimized Ta2Zn2Cu structure.

Summary:
- Calculated total energy: -5.882 eV per atom
- M_tot: 0.00 μB/f.u.
- Formation energy: 0.19 eV per atom

a b c (Å): 6.2640 6.2640 3.9664
angles (deg): 90.00 90.00 90.00
Closest atoms and distances in Å follow each position.
Space group P4/mbm (No. 127)
Asymmetric unit:
Ta: 0.1658 0.3342 0.0000 (multiplicity 4)  6 Zn 2.64-2.75, 1 Ta 2.94
Zn: 0.1372 0.6372 0.5000 (multiplicity 4)  2 Cu 2.43, 1 Zn 2.43, 2 Ta 2.64
Cu: 0.0000 0.0000 0.5000 (multiplicity 2)  4 Zn 2.43

***

Density functional theory data (PBE) for a geometry-optimized TaZnCu2 structure.

Summary:
- Calculated total energy: -5.157 eV per atom
- M_tot: 0.00 μB/f.u.
- Formation energy: 0.17 eV per atom

a b c (Å): 6.5174 6.5366 2.7142
angles (deg): 90.00 90.00 90.00
Closest atoms and distances in Å follow each position.
Space group Cmmm (No. 65)
Asymmetric unit:
Ta: 0.0000 0.0000 0.0000 (multiplicity 2)  8 Cu 2.68, 2 Ta 2.71
Zn: 0.0000 0.5000 0.0000 (multiplicity 2)  8 Cu 2.68, 2 Zn 2.71
Cu: 0.2500 0.2500 0.5000 (multiplicity 4)  4 Ta 2.68, 4 Zn 2.68, 2 Cu 2.71

***

Density functional theory data (PBE) for a geometry-optimized TaZn2Cu structure.

Summary:
- Calculated total energy: -4.481 eV per atom
- M_tot: 0.00 μB/f.u.
- Formation energy: 0.14 eV per atom

a b c (Å): 8.7117 2.7818 5.0429
angles (deg): 90.00 99.62 90.00
Closest atoms and distances in Å follow each position.
Space group Cm (No. 8)
Asymmetric unit:
Ta: 0.0000 0.0000 0.0000 (multiplicity 2)  3 Cu 2.66-2.71, 7 Zn 2.76-2.91, 2 Ta 2.78
Zn: 0.2439 0.0000 0.7155 (multiplicity 2)  5 Zn 2.63-2.78, 3 Ta 2.76-2.81, 2 Cu 2.77
Zn: 0.4962 0.0000 0.4927 (multiplicity 2)  5 Zn 2.63-2.78, 3 Cu 2.67-2.74, 4 Ta 2.85-2.91
Cu: 0.2519 0.5000 0.2431 (multiplicity 2)  3 Ta 2.66-2.71, 5 Zn 2.67-2.77, 2 Cu 2.78

***

Density functional theory data (PBE) for a geometry-optimized TaZnCu2 structure.

Summary:
- Calculated total energy: -5.195 eV per atom
- M_tot: 0.00 μB/f.u.
- Formation energy: 0.13 eV per atom

a b c (Å): 2.7638 2.7638 26.4683
angles (deg): 90.00 90.00 120.00
Closest atoms and distances in Å follow each position.
Space group R3m (No. 160, hexagonal axes)
Asymmetric unit:
Ta: 0.0000 0.0000 0.0000 (multiplicity 3)  6 Ta 2.76, 3 Cu 2.78, 3 Zn 2.94
Zn: 0.0000 0.0000 0.7602 (multiplicity 3)  3 Cu 2.60, 6 Zn 2.76
Cu: 0.0000 0.0000 0.2474 (multiplicity 3)  9 Cu 2.57-2.76, 3 Ta 2.78
Cu: 0.0000 0.0000 0.5045 (multiplicity 3)  9 Cu 2.57-2.76, 3 Zn 2.60

***

Density functional theory data (PBE) for a geometry-optimized TaZnCu2 structure.

Summary:
- Calculated total energy: -5.331 eV per atom
- M_tot: 0.00 μB/f.u.
- Formation energy: 0.00 eV per atom

a b c (Å): 2.7746 2.7746 7.3374
angles (deg): 90.00 90.00 90.00
Closest atoms and distances in Å follow each position.
Space group P4/mmm (No. 123)
Asymmetric unit:
Ta: 0.0000 0.0000 0.0000 (multiplicity 1)  8 Cu 2.77, 4 Ta 2.77
Zn: 0.0000 0.0000 0.5000 (multiplicity 1)  8 Cu 2.60, 4 Zn 2.77
Cu: 0.5000 0.5000 0.2665 (multiplicity 2)  4 Zn 2.60, 4 Ta 2.77, 4 Cu 2.77

***

Density functional theory data (PBE) for a geometry-optimized TaZn4Cu5 structure.

Summary:
- Calculated total energy: -3.789 eV per atom
- M_tot: 0.00 μB/f.u.
- Formation energy: -0.05 eV per atom

a b c (Å): 2.9191 2.9191 15.7703
angles (deg): 90.00 90.00 90.00
Closest atoms and distances in Å follow each position.
Space group P4/mmm (No. 123)
Asymmetric unit:
Ta: 0.0000 0.0000 0.0000 (multiplicity 1)  8 Cu 2.75, 4 Ta 2.92
Zn: 0.0000 0.0000 0.2097 (multiplicity 2)  8 Cu 2.55-2.57
Zn: 0.0000 0.0000 0.4036 (multiplicity 2)  8 Cu 2.56
Cu: 0.5000 0.5000 0.1152 (multiplicity 2)  4 Zn 2.55, 4 Ta 2.75
Cu: 0.5000 0.5000 0.3072 (multiplicity 2)  8 Zn 2.56-2.57
Cu: 0.5000 0.5000 0.5000 (multiplicity 1)  8 Zn 2.56

***

Density functional theory data (PBE) for a geometry-optimized TaZn2Cu structure.

Summary:
- Calculated total energy: -4.538 eV per atom
- M_tot: 0.00 μB/f.u.
- Formation energy: 0.09 eV per atom

a b c (Å): 2.7113 4.1895 5.3459
angles (deg): 90.00 100.57 90.00
Closest atoms and distances in Å follow each position.
Space group P2/m (No. 10)
Asymmetric unit:
Ta: 0.0000 0.0000 0.0000 (multiplicity 1)  2 Ta 2.71, 2 Cu 2.77, 8 Zn 2.79-2.91
Zn: 0.3566 0.5000 0.7383 (multiplicity 2)  2 Cu 2.52, 4 Zn 2.71-2.80, 2 Ta 2.79
Cu: 0.5000 0.0000 0.5000 (multiplicity 1)  4 Zn 2.52, 2 Cu 2.71, 2 Ta 2.77

***

Density functional theory data (PBE) for a geometry-optimized TaZn5Cu4 structure.

Summary:
- Calculated total energy: -3.518 eV per atom
- M_tot: 0.00 μB/f.u.
- Formation energy: -0.06 eV per atom

a b c (Å): 2.9922 2.9922 15.1977
angles (deg): 90.00 90.00 90.00
Closest atoms and distances in Å follow each position.
Space group P4/mmm (No. 123)
Asymmetric unit:
Ta: 0.0000 0.0000 0.0000 (multiplicity 1)  8 Zn 2.81, 4 Ta 2.99
Zn: 0.5000 0.5000 0.1218 (multiplicity 2)  4 Cu 2.56, 4 Ta 2.81
Zn: 0.5000 0.5000 0.3107 (multiplicity 2)  8 Cu 2.56
Zn: 0.5000 0.5000 0.5000 (multiplicity 1)  8 Cu 2.56
Cu: 0.0000 0.0000 0.2163 (multiplicity 2)  8 Zn 2.56
Cu: 0.0000 0.0000 0.4051 (multiplicity 2)  8 Zn 2.56

***

Density functional theory data (PBE) for a geometry-optimized TaZn2Cu structure.

Summary:
- Calculated total energy: -4.402 eV per atom
- M_tot: 0.00 μB/f.u.
- Formation energy: 0.22 eV per atom

a b c (Å): 6.1759 6.1759 6.1759
angles (deg): 90.00 90.00 90.00
Closest atoms and distances in Å follow each position.
Space group Fm-3m (No. 225)
Asymmetric unit:
Ta: 0.0000 0.0000 0.0000 (multiplicity 4)  8 Zn 2.67
Zn: 0.2500 0.2500 0.2500 (multiplicity 8)  4 Ta 2.67, 4 Cu 2.67
Cu: 0.0000 0.0000 0.5000 (multiplicity 4)  8 Zn 2.67

***

Density functional theory data (PBE) for a geometry-optimized TaZnCu2 structure.

Summary:
- Calculated total energy: -5.130 eV per atom
- M_tot: 0.00 μB/f.u.
- Formation energy: 0.20 eV per atom

a b c (Å): 3.9162 3.9162 3.7487
angles (deg): 90.00 90.00 90.00
Closest atoms and distances in Å follow each position.
Space group P4/mmm (No. 123)
Asymmetric unit:
Ta: 0.0000 0.0000 0.0000 (multiplicity 1)  8 Cu 2.71, 4 Zn 2.77
Zn: 0.5000 0.5000 0.0000 (multiplicity 1)  8 Cu 2.71, 4 Ta 2.77
Cu: 0.0000 0.5000 0.5000 (multiplicity 2)  4 Ta 2.71, 4 Zn 2.71, 4 Cu 2.77

***

Density functional theory data (PBE) for a geometry-optimized TaZn2Cu structure.

Summary:
- Calculated total energy: -4.538 eV per atom
- M_tot: 0.00 μB/f.u.
- Formation energy: 0.09 eV per atom

a b c (Å): 2.7769 2.7769 27.1965
angles (deg): 90.00 90.00 120.00
Closest atoms and distances in Å follow each position.
Space group R-3m (No. 166, hexagonal axes)
Asymmetric unit:
Ta: 0.0000 0.0000 0.0000 (multiplicity 3)  6 Ta 2.78, 6 Zn 2.93
Zn: 0.0000 0.0000 0.2431 (multiplicity 6)  3 Cu 2.63, 6 Zn 2.78, 3 Ta 2.93
Cu: 0.0000 0.0000 0.5000 (multiplicity 3)  6 Zn 2.63, 6 Cu 2.78

***

Density functional theory data (PBE) for a geometry-optimized TaZn4Cu structure.

Summary:
- Calculated total energy: -3.261 eV per atom
- M_tot: 0.00 μB/f.u.
- Formation energy: 0.25 eV per atom

a b c (Å): 7.0843 7.0843 7.0843
angles (deg): 90.00 90.00 90.00
Closest atoms and distances in Å follow each position.
Space group F-43m (No. 216)
Asymmetric unit:
Ta: 0.0000 0.0000 0.0000 (multiplicity 4)  12 Zn 2.94, 4 Cu 3.07
Zn: 0.1258 0.1258 0.3742 (multiplicity 16)  6 Zn 2.49-2.52
Cu: 0.2500 0.2500 0.7500 (multiplicity 4)  12 Zn 2.94, 4 Ta 3.07

***

Density functional theory data (PBE) for a geometry-optimized TaZnCu2 structure.

Summary:
- Calculated total energy: -5.234 eV per atom
- M_tot: 0.00 μB/f.u.
- Formation energy: 0.10 eV per atom

a b c (Å): 2.6477 4.1625 5.2782
angles (deg): 90.00 98.09 90.00
Closest atoms and distances in Å follow each position.
Space group P2/m (No. 10)
Asymmetric unit:
Ta: 0.0000 0.0000 0.0000 (multiplicity 1)  2 Ta 2.65, 8 Cu 2.72-2.86, 2 Zn 2.78
Zn: 0.5000 0.0000 0.5000 (multiplicity 1)  4 Cu 2.51, 2 Zn 2.65, 2 Ta 2.78
Cu: 0.3775 0.5000 0.7514 (multiplicity 2)  2 Zn 2.51, 3 Cu 2.61-2.65, 2 Ta 2.72

***

Density functional theory data (PBE) for a geometry-optimized TaZn3Cu structure.

Summary:
- Calculated total energy: -2.562 eV per atom
- M_tot: 0.00 μB/f.u.
- Formation energy: 1.39 eV per atom

a b c (Å): 5.0287 5.0287 5.0287
angles (deg): 90.00 90.00 90.00
Closest atoms and distances in Å follow each position.
Space group Pm-3m (No. 221)
Asymmetric unit:
Ta: 0.0000 0.0000 0.0000 (multiplicity 1)  6 Zn 2.51
Zn: 0.0000 0.0000 0.5000 (multiplicity 3)  2 Ta 2.51
Cu: 0.5000 0.5000 0.5000 (multiplicity 1)  12 Zn 3.56

***

Density functional theory data (PBE) for a geometry-optimized TaZn2Cu3 structure.

Summary:
- Calculated total energy: -4.473 eV per atom
- M_tot: 0.00 μB/f.u.
- Formation energy: -0.02 eV per atom

a b c (Å): 2.8658 2.8658 10.0305
angles (deg): 90.00 90.00 90.00
Closest atoms and distances in Å follow each position.
Space group P4/mmm (No. 123)
Asymmetric unit:
Ta: 0.0000 0.0000 0.0000 (multiplicity 1)  8 Cu 2.75, 4 Ta 2.87
Zn: 0.0000 0.0000 0.3409 (multiplicity 2)  8 Cu 2.55-2.58
Cu: 0.5000 0.5000 0.1859 (multiplicity 2)  4 Zn 2.55, 4 Ta 2.75
Cu: 0.5000 0.5000 0.5000 (multiplicity 1)  8 Zn 2.58, 4 Cu 2.87

***

Density functional theory data (PBE) for a geometry-optimized TaZn2Cu structure.

Summary:
- Calculated total energy: -4.555 eV per atom
- M_tot: 0.00 μB/f.u.
- Formation energy: 0.07 eV per atom

a b c (Å): 2.7265 4.1094 5.5124
angles (deg): 90.00 104.01 90.00
Closest atoms and distances in Å follow each position.
Space group Pm (No. 6)
Asymmetric unit:
Ta: 0.0000 0.0000 0.0000 (multiplicity 1)  4 Cu 2.72-2.73, 2 Ta 2.73, 7 Zn 2.77-2.92
Zn: 0.2652 0.0000 0.5179 (multiplicity 1)  2 Cu 2.50, 6 Zn 2.73-2.76, 1 Ta 2.77
Zn: 0.6475 0.5000 0.2921 (multiplicity 1)  3 Cu 2.72-2.97, 6 Zn 2.73-2.76, 4 Ta 2.91-2.92
Cu: 0.3927 0.5000 0.7831 (multiplicity 1)  3 Zn 2.50-2.72, 4 Ta 2.72-2.73, 2 Cu 2.73

***

Density functional theory data (PBE) for a geometry-optimized TaZn2Cu structure.

Summary:
- Calculated total energy: -4.536 eV per atom
- M_tot: 0.00 μB/f.u.
- Formation energy: 0.09 eV per atom

a b c (Å): 2.8048 2.8048 26.7889
angles (deg): 90.00 90.00 120.00
Closest atoms and distances in Å follow each position.
Space group R3m (No. 160, hexagonal axes)
Asymmetric unit:
Ta: 0.0000 0.0000 0.0000 (multiplicity 3)  6 Ta 2.80, 6 Zn 2.89-2.91
Zn: 0.0000 0.0000 0.5764 (multiplicity 3)  3 Cu 2.62, 6 Zn 2.80, 3 Ta 2.91
Zn: 0.0000 0.0000 0.7561 (multiplicity 3)  3 Cu 2.62, 6 Zn 2.80, 3 Ta 2.89
Cu: 0.0000 0.0000 0.1663 (multiplicity 3)  6 Zn 2.62, 6 Cu 2.80

***

Density functional theory data (PBE) for a geometry-optimized TaZnCu2 structure.

Summary:
- Calculated total energy: -5.239 eV per atom
- M_tot: 0.00 μB/f.u.
- Formation energy: 0.09 eV per atom

a b c (Å): 2.7573 2.7573 26.5603
angles (deg): 90.00 90.00 120.00
Closest atoms and distances in Å follow each position.
Space group R-3m (No. 166, hexagonal axes)
Asymmetric unit:
Ta: 0.0000 0.0000 0.0000 (multiplicity 3)  6 Ta 2.76, 6 Cu 2.80
Zn: 0.0000 0.0000 0.5000 (multiplicity 3)  6 Cu 2.65, 6 Zn 2.76
Cu: 0.0000 0.0000 0.2466 (multiplicity 6)  3 Zn 2.65, 6 Cu 2.76, 3 Ta 2.80

***

Density functional theory data (PBE) for a geometry-optimized TaZnCu2 structure.

Summary:
- Calculated total energy: -5.298 eV per atom
- M_tot: 0.00 μB/f.u.
- Formation energy: 0.03 eV per atom

a b c (Å): 2.8054 2.8054 7.1787
angles (deg): 90.00 90.00 90.00
Closest atoms and distances in Å follow each position.
Space group P4mm (No. 99)
Asymmetric unit:
Ta: 0.0000 0.0000 0.0000 (multiplicity 1)  4 Cu 2.75, 4 Ta 2.81, 4 Zn 2.85
Zn: 0.5000 0.5000 0.2849 (multiplicity 1)  4 Cu 2.58, 4 Zn 2.81, 4 Ta 2.85
Cu: 0.0000 0.0000 0.5158 (multiplicity 1)  8 Cu 2.53-2.81, 4 Zn 2.58
Cu: 0.5000 0.5000 0.7352 (multiplicity 1)  8 Cu 2.53-2.81, 4 Ta 2.75

***

Density functional theory data (PBE) for a geometry-optimized TaZnCu2 structure.

Summary:
- Calculated total energy: -5.239 eV per atom
- M_tot: 0.00 μB/f.u.
- Formation energy: 0.09 eV per atom

a b c (Å): 4.1067 2.6426 10.5023
angles (deg): 90.00 90.00 90.00
Closest atoms and distances in Å follow each position.
Space group Amm2 (No. 38)
Asymmetric unit:
Ta: 0.0000 0.0000 0.0000 (multiplicity 2)  2 Ta 2.64, 7 Cu 2.69-2.88, 4 Zn 2.94
Zn: 0.5000 0.0000 0.6559 (multiplicity 2)  2 Zn 2.64, 7 Cu 2.66-2.82, 4 Ta 2.94
Cu: 0.0000 0.0000 0.2565 (multiplicity 2)  4 Cu 2.47-2.64, 4 Zn 2.66, 1 Ta 2.69
Cu: 0.5000 0.0000 0.3879 (multiplicity 2)  4 Cu 2.47-2.64, 4 Ta 2.71